An optimized crystal structure of SbAu, computed with PBEsol.

a b c (Å): 3.961 4.951 8.339
angles (deg): 103.97 90.00 113.58
Fractional positions:
Sb  0.956  0.913  0.887
Sb  0.036  0.071  0.517
Sb  0.727  0.454  0.078
Au  0.710  0.419  0.412
Au  0.349  0.699  0.665
Au  0.389  0.777  0.275

Output
VASP energy = -4.19 eV/atom
Uncorrected formation energy = 0.1 eV/f.u.
Space-group type = No. 8